No. 1
First-principles (GGA-PBE) data for Tb2Nd3Sm3 after structural relaxation, as listed in the Alexandria database.

Lattice parameters (Å, degrees): 6.360 8.648 14.700 90.00 90.00 137.41
Fractional coordinates of all 16 atoms:
Tb  0.914  0.750  0.874
Tb  0.086  0.250  0.374
Tb  0.914  0.750  0.626
Tb  0.086  0.250  0.126
Nd  0.583  0.250  0.500
Nd  0.417  0.750  0.000
Nd  0.583  0.250  0.000
Nd  0.417  0.750  0.500
Nd  0.420  0.750  0.250
Nd  0.580  0.250  0.750
Sm  0.917  0.750  0.375
Sm  0.083  0.250  0.875
Sm  0.917  0.750  0.125
Sm  0.083  0.250  0.625
Sm  0.586  0.249  0.250
Sm  0.414  0.751  0.750

Summary:
* ΔE_f: 29 meV/atom
* final energy: -4.6865 eV per atom
* DOS at the Fermi energy: 28.168 states/eV/cell
* density: 7.29 Mg/m³
* SG: P2_1/m (11)



No. 2
First-principles (GGA-PBE) data for TbNd3Sm2 after structural relaxation, as listed in the Alexandria database.

Lattice parameters (Å, degrees): 3.732 8.569 12.969 89.97 90.00 90.00
Fractional coordinates of all 12 atoms:
Tb  0.250  0.809  0.749
Tb  0.750  0.191  0.251
Nd  0.750  0.087  0.610
Nd  0.250  0.913  0.390
Nd  0.750  0.605  0.251
Nd  0.250  0.395  0.749
Nd  0.250  0.348  0.054
Nd  0.750  0.652  0.946
Sm  0.250  0.351  0.447
Sm  0.750  0.649  0.553
Sm  0.750  0.085  0.891
Sm  0.250  0.915  0.109

Summary:
* ΔE_f: 52 meV/atom
* final energy: -4.6765 eV per atom
* DOS at the Fermi energy: 18.303 states/eV/cell
* density: 7.15 Mg/m³
* SG: P2_1/m (11)



No. 3
First-principles (GGA-PBE) data for Tb12NdSm3 after structural relaxation, as listed in the Alexandria database.

Lattice parameters (Å, degrees): 5.063 5.063 20.251 90.00 90.00 90.00
Fractional coordinates of all 16 atoms:
Tb  0.500  0.500  0.000
Tb  0.500  0.500  0.250
Tb  0.500  0.500  0.500
Tb  0.500  0.500  0.750
Tb  0.500  0.000  0.126
Tb  0.500  0.000  0.375
Tb  0.500  0.000  0.625
Tb  0.500  0.000  0.874
Tb  0.000  0.500  0.126
Tb  0.000  0.500  0.375
Tb  0.000  0.500  0.625
Tb  0.000  0.500  0.874
Nd  0.000  0.000  0.000
Sm  0.000  0.000  0.250
Sm  0.000  0.000  0.500
Sm  0.000  0.000  0.750

Summary:
* ΔE_f: 17 meV/atom
* final energy: -4.6390 eV per atom
* DOS at the Fermi energy: 22.052 states/eV/cell
* density: 8.01 Mg/m³
* SG: P4/mmm (123)



No. 4
First-principles (GGA-PBE) data for Tb4Nd5Sm4 after structural relaxation, as listed in the Alexandria database.

Lattice parameters (Å, degrees): 5.113 9.616 9.616 85.95 74.58 74.58
Fractional coordinates of all 13 atoms:
Tb  0.768  0.386  0.078
Tb  0.232  0.614  0.922
Tb  0.846  0.922  0.386
Tb  0.154  0.078  0.614
Nd  0.693  0.846  0.767
Nd  0.307  0.154  0.233
Nd  0.000  0.000  0.000
Nd  0.539  0.767  0.154
Nd  0.461  0.233  0.846
Sm  0.923  0.461  0.692
Sm  0.616  0.308  0.461
Sm  0.077  0.539  0.308
Sm  0.384  0.692  0.539

Summary:
* ΔE_f: 14 meV/atom
* final energy: -4.6967 eV per atom
* DOS at the Fermi energy: 18.003 states/eV/cell
* density: 7.40 Mg/m³
* SG: I4/m (87)



No. 5
First-principles (GGA-PBE) data for Tb2NdSm9 after structural relaxation, as listed in the Alexandria database.

Lattice parameters (Å, degrees): 5.117 5.117 15.359 90.00 90.00 90.00
Fractional coordinates of all 12 atoms:
Tb  0.000  0.000  0.334
Tb  0.000  0.000  0.666
Nd  0.000  0.000  0.000
Sm  0.500  0.500  0.000
Sm  0.500  0.500  0.335
Sm  0.500  0.500  0.665
Sm  0.500  0.000  0.168
Sm  0.500  0.000  0.500
Sm  0.500  0.000  0.832
Sm  0.000  0.500  0.168
Sm  0.000  0.500  0.500
Sm  0.000  0.500  0.832

Summary:
* ΔE_f: 18 meV/atom
* final energy: -4.6907 eV per atom
* DOS at the Fermi energy: 19.515 states/eV/cell
* density: 7.49 Mg/m³
* SG: P4/mmm (123)



No. 6
First-principles (GGA-PBE) data for Tb12Nd7Sm after structural relaxation, as listed in the Alexandria database.

Lattice parameters (Å, degrees): 9.862 9.862 9.862 109.47 109.47 109.47
Fractional coordinates of all 20 atoms:
Tb  0.503  0.751  0.751
Tb  0.000  0.751  0.249
Tb  0.497  0.249  0.249
Tb  0.000  0.249  0.751
Tb  0.751  0.000  0.249
Tb  0.751  0.503  0.751
Tb  0.249  0.000  0.751
Tb  0.249  0.497  0.249
Tb  0.751  0.751  0.503
Tb  0.249  0.249  0.497
Tb  0.751  0.249  0.000
Tb  0.249  0.751  0.000
Nd  0.500  0.500  0.000
Nd  0.000  0.500  0.500
Nd  0.500  0.000  0.500
Nd  0.500  0.500  0.500
Nd  0.000  0.000  0.500
Nd  0.500  0.000  0.000
Nd  0.000  0.500  0.000
Sm  0.000  0.000  0.000

Summary:
* ΔE_f: 621 meV/atom
* final energy: -4.0620 eV per atom
* DOS at the Fermi energy: 29.088 states/eV/cell
* density: 6.90 Mg/m³
* SG: Im-3m (229)



No. 7
First-principles (GGA-PBE) data for TbNd6Sm4 after structural relaxation, as listed in the Alexandria database.

Lattice parameters (Å, degrees): 7.602 7.602 8.729 115.81 115.81 90.00
Fractional coordinates of all 11 atoms:
Tb  0.500  0.500  0.000
Nd  0.912  0.464  0.375
Nd  0.464  0.912  0.375
Nd  0.536  0.536  0.625
Nd  0.000  0.500  0.000
Nd  0.088  0.088  0.625
Nd  0.500  0.000  0.000
Sm  0.088  0.749  0.837
Sm  0.912  0.912  0.163
Sm  0.749  0.088  0.837
Sm  0.251  0.251  0.163

Summary:
* ΔE_f: 358 meV/atom
* final energy: -4.3793 eV per atom
* DOS at the Fermi energy: 13.732 states/eV/cell
* density: 6.79 Mg/m³
* SG: I-42m (121)



No. 8
First-principles (GGA-PBE) data for Tb4Nd4Sm3 after structural relaxation, as listed in the Alexandria database.

Lattice parameters (Å, degrees): 5.763 6.716 10.776 90.00 90.00 115.41
Fractional coordinates of all 11 atoms:
Tb  0.612  0.223  0.500
Tb  0.553  0.106  0.000
Tb  0.104  0.209  0.698
Tb  0.104  0.209  0.302
Nd  0.754  0.508  0.790
Nd  0.754  0.508  0.210
Nd  0.884  0.768  0.500
Nd  0.960  0.921  0.000
Sm  0.410  0.819  0.291
Sm  0.410  0.819  0.709
Sm  0.254  0.508  0.000

Summary:
* ΔE_f: 149 meV/atom
* final energy: -4.5552 eV per atom
* DOS at the Fermi energy: 18.057 states/eV/cell
* density: 7.33 Mg/m³
* SG: Amm2 (38)



No. 9
First-principles (GGA-PBE) data for Tb2Nd5Sm after structural relaxation, as listed in the Alexandria database.

Lattice parameters (Å, degrees): 5.154 7.284 14.571 90.00 90.00 90.00
Fractional coordinates of all 16 atoms:
Tb  0.500  0.250  0.625
Tb  0.500  0.750  0.375
Tb  0.500  0.250  0.125
Tb  0.500  0.750  0.875
Nd  0.000  0.000  0.000
Nd  0.000  0.500  0.500
Nd  0.000  0.500  0.750
Nd  0.000  0.500  0.250
Nd  0.000  0.000  0.250
Nd  0.000  0.000  0.750
Nd  0.500  0.251  0.875
Nd  0.500  0.749  0.125
Nd  0.500  0.249  0.375
Nd  0.500  0.751  0.625
Sm  0.000  0.000  0.500
Sm  0.000  0.500  0.000

Summary:
* ΔE_f: 14 meV/atom
* final energy: -4.7133 eV per atom
* DOS at the Fermi energy: 24.127 states/eV/cell
* density: 7.22 Mg/m³
* SG: Pbam (55)



No. 10
First-principles (GGA-PBE) data for Tb5NdSm after structural relaxation, as listed in the Alexandria database.

Lattice parameters (Å, degrees): 6.820 6.820 13.798 61.38 61.38 60.07
Fractional coordinates of all 14 atoms:
Tb  0.166  0.394  0.750
Tb  0.651  0.692  0.500
Tb  0.394  0.166  0.250
Tb  0.163  0.837  0.750
Tb  0.308  0.349  0.000
Tb  0.692  0.651  0.000
Tb  0.837  0.163  0.250
Tb  0.606  0.834  0.750
Tb  0.349  0.308  0.500
Tb  0.834  0.606  0.250
Nd  0.723  0.277  0.750
Nd  0.277  0.723  0.250
Sm  0.000  0.000  0.000
Sm  0.000  0.000  0.500

Summary:
* ΔE_f: 184 meV/atom
* final energy: -4.4782 eV per atom
* DOS at the Fermi energy: 17.943 states/eV/cell
* density: 7.81 Mg/m³
* SG: C2/c (15)



No. 11
First-principles (GGA-PBE) data for Tb6Nd19Sm4 after structural relaxation, as listed in the Alexandria database.

Lattice parameters (Å, degrees): 11.026 11.026 11.026 109.47 109.47 109.47
Fractional coordinates of all 29 atoms:
Tb  0.376  0.500  0.876
Tb  0.624  0.500  0.124
Tb  0.124  0.624  0.500
Tb  0.876  0.376  0.500
Tb  0.500  0.876  0.376
Tb  0.500  0.124  0.624
Nd  0.742  0.000  0.742
Nd  0.258  0.000  0.258
Nd  0.258  0.258  0.000
Nd  0.742  0.742  0.000
Nd  0.000  0.742  0.742
Nd  0.000  0.258  0.258
Nd  0.000  0.000  0.000
Nd  0.201  0.222  0.544
Nd  0.799  0.343  0.021
Nd  0.678  0.657  0.456
Nd  0.021  0.799  0.343
Nd  0.322  0.778  0.979
Nd  0.544  0.201  0.222
Nd  0.979  0.322  0.778
Nd  0.456  0.678  0.657
Nd  0.778  0.979  0.322
Nd  0.343  0.021  0.799
Nd  0.222  0.544  0.201
Nd  0.657  0.456  0.678
Sm  0.000  0.000  0.636
Sm  0.000  0.636  0.000
Sm  0.364  0.364  0.364
Sm  0.636  0.000  0.000

Summary:
* ΔE_f: 356 meV/atom
* final energy: -4.3771 eV per atom
* DOS at the Fermi energy: 39.030 states/eV/cell
* density: 6.91 Mg/m³
* SG: I23 (197)



No. 12
First-principles (GGA-PBE) data for Tb2Nd5Sm4 after structural relaxation, as listed in the Alexandria database.

Lattice parameters (Å, degrees): 3.513 8.923 12.287 96.97 98.22 90.00
Fractional coordinates of all 11 atoms:
Tb  0.909  0.267  0.818
Tb  0.091  0.733  0.182
Nd  0.140  0.116  0.280
Nd  0.860  0.884  0.720
Nd  0.231  0.822  0.461
Nd  0.500  0.000  0.000
Nd  0.769  0.178  0.539
Sm  0.676  0.471  0.353
Sm  0.045  0.362  0.091
Sm  0.324  0.529  0.647
Sm  0.955  0.638  0.909

Summary:
* ΔE_f: 137 meV/atom
* final energy: -4.5879 eV per atom
* DOS at the Fermi energy: 17.656 states/eV/cell
* density: 7.20 Mg/m³
* SG: C2/m (12)



No. 13
First-principles (GGA-PBE) data for TbNdSm after structural relaxation, as listed in the Alexandria database.

Lattice parameters (Å, degrees): 3.648 3.644 9.056 78.23 90.00 59.97
Fractional coordinates of all 3 atoms:
Tb  0.871  0.680  0.949
Nd  0.092  0.239  0.616
Sm  0.650  0.123  0.276

Summary:
* ΔE_f: 16 meV/atom
* final energy: -4.6895 eV per atom
* DOS at the Fermi energy: 3.827 states/eV/cell
* density: 7.43 Mg/m³
* SG: Cm (8)



No. 14
First-principles (GGA-PBE) data for Tb5Nd4Sm3 after structural relaxation, as listed in the Alexandria database.

Lattice parameters (Å, degrees): 5.994 8.648 9.799 105.86 72.19 69.72
Fractional coordinates of all 12 atoms:
Tb  0.626  0.946  0.802
Tb  0.500  0.500  0.500
Tb  0.216  0.456  0.112
Tb  0.784  0.544  0.888
Tb  0.374  0.054  0.198
Nd  0.860  0.223  0.056
Nd  0.168  0.044  0.619
Nd  0.832  0.956  0.381
Nd  0.140  0.777  0.944
Sm  0.522  0.688  0.269
Sm  0.000  0.500  0.500
Sm  0.478  0.312  0.731

Summary:
* ΔE_f: 215 meV/atom
* final energy: -4.4837 eV per atom
* DOS at the Fermi energy: 19.439 states/eV/cell
* density: 7.37 Mg/m³
* SG: C2/m (12)



No. 15
First-principles (GGA-PBE) data for Tb3Nd5Sm after structural relaxation, as listed in the Alexandria database.

Lattice parameters (Å, degrees): 6.268 11.109 11.696 124.39 90.00 106.39
Fractional coordinates of all 18 atoms:
Tb  0.000  0.000  0.000
Tb  0.400  0.355  0.325
Tb  0.000  0.000  0.500
Tb  0.600  0.645  0.675
Tb  0.955  0.355  0.825
Tb  0.045  0.645  0.175
Nd  0.405  0.000  0.750
Nd  0.632  0.641  0.976
Nd  0.818  0.280  0.126
Nd  0.368  0.359  0.024
Nd  0.539  0.720  0.374
Nd  0.595  0.000  0.250
Nd  0.009  0.641  0.476
Nd  0.991  0.359  0.524
Nd  0.461  0.280  0.626
Nd  0.182  0.720  0.874
Sm  0.890  0.000  0.750
Sm  0.110  0.000  0.250

Summary:
* ΔE_f: 273 meV/atom
* final energy: -4.4440 eV per atom
* DOS at the Fermi energy: 25.125 states/eV/cell
* density: 7.09 Mg/m³
* SG: C2/c (15)



No. 16
First-principles (GGA-PBE) data for Tb3Nd6Sm after structural relaxation, as listed in the Alexandria database.

Lattice parameters (Å, degrees): 6.413 11.143 11.143 120.58 90.00 90.00
Fractional coordinates of all 20 atoms:
Tb  0.462  0.943  0.710
Tb  0.962  0.710  0.943
Tb  0.086  0.384  0.616
Tb  0.586  0.616  0.384
Tb  0.962  0.057  0.290
Tb  0.462  0.290  0.057
Nd  0.051  0.709  0.629
Nd  0.551  0.629  0.709
Nd  0.372  0.526  0.943
Nd  0.872  0.943  0.526
Nd  0.370  0.964  0.036
Nd  0.649  0.280  0.720
Nd  0.149  0.720  0.280
Nd  0.870  0.036  0.964
Nd  0.372  0.057  0.474
Nd  0.872  0.474  0.057
Nd  0.051  0.371  0.291
Nd  0.551  0.291  0.371
Sm  0.112  0.194  0.806
Sm  0.612  0.806  0.194

Summary:
* ΔE_f: 139 meV/atom
* final energy: -4.5831 eV per atom
* DOS at the Fermi energy: 27.683 states/eV/cell
* density: 7.23 Mg/m³
* SG: Cmc2_1 (36)



No. 17
First-principles (GGA-PBE) data for Tb4Nd3Sm after structural relaxation, as listed in the Alexandria database.

Lattice parameters (Å, degrees): 3.484 8.996 8.996 81.49 78.83 78.83
Fractional coordinates of all 8 atoms:
Nd  0.758  0.242  0.242
Nd  0.242  0.758  0.758
Nd  0.000  0.500  0.500
Tb  0.634  0.113  0.618
Tb  0.366  0.887  0.382
Tb  0.366  0.382  0.887
Tb  0.634  0.618  0.113
Sm  0.500  0.000  0.000

Summary:
* ΔE_f: 127 meV/atom
* final energy: -4.5664 eV per atom
* DOS at the Fermi energy: 12.415 states/eV/cell
* density: 7.51 Mg/m³
* SG: Immm (71)



No. 18
First-principles (GGA-PBE) data for Tb2Nd5Sm2 after structural relaxation, as listed in the Alexandria database.

Lattice parameters (Å, degrees): 11.964 6.878 10.221 109.66 125.83 90.00
Fractional coordinates of all 18 atoms:
Tb  0.133  0.679  0.255
Tb  0.867  0.424  0.745
Tb  0.621  0.179  0.255
Tb  0.379  0.924  0.745
Nd  0.189  0.660  0.898
Nd  0.811  0.762  0.102
Nd  0.209  0.160  0.898
Nd  0.791  0.262  0.102
Nd  0.375  0.027  0.288
Nd  0.625  0.739  0.712
Nd  0.413  0.527  0.288
Nd  0.587  0.239  0.712
Nd  0.011  0.652  0.500
Nd  0.989  0.152  0.500
Sm  0.000  0.049  0.000
Sm  0.500  0.549  0.000
Sm  0.255  0.345  0.500
Sm  0.745  0.845  0.500

Summary:
* ΔE_f: 205 meV/atom
* final energy: -4.5210 eV per atom
* DOS at the Fermi energy: 26.218 states/eV/cell
* density: 7.17 Mg/m³
* SG: Ima2 (46)